[1]
VASP calculation (PBE-GGA) on an optimized crystal structure of BaAlSb2W.

Summary:
E_form (uncorrected): 2140 meV/atom
total DFT energy (no corrections): -3.2323 eV per atom
total moment: 4.152 μB per formula unit
space group: P4/mmm, No. 123

abc: 6.2113 5.9696 6.2113
angles: 90.00 90.00 90.00
Last column: magnetic moment on the atom in μB.
Sites, in units of the cell vectors:
Sb (0.5000, 0.0000, 0.0000)  -0.08
Sb (0.0000, 0.0000, 0.5000)  -0.10
W (0.0000, 0.5000, 0.0000)  3.17
Ba (0.0000, 0.0000, 0.0000)  0.09
Al (0.5000, 0.5000, 0.5000)  0.01



[2]
VASP calculation (PBE-GGA) on an optimized crystal structure of La2Tb8Tm.

Summary:
ΔE_f: 28 kJ/mol of formula units
total DFT energy (no corrections): -4.6438 eV per atom
ΔE to the lowest computed polymorph: 0 meV/atom
total moment: 0.000 μB per formula unit
space group: C2/m, No. 12

abc: 5.0819 8.0278 9.4980
angles: 104.73 105.52 90.00
Sites, in units of the cell vectors:
La (0.7732, 0.3628, 0.5464)
Tb (0.4111, 0.5482, 0.8222)
Tb (0.6803, 0.9071, 0.3607)
Tm (0.5000, 0.0000, 0.0000)
Tb (0.0437, 0.7283, 0.0873)
La (0.2268, 0.6372, 0.4536)
Tb (0.5889, 0.4518, 0.1778)
Tb (0.3197, 0.0929, 0.6393)
Tb (0.1341, 0.1750, 0.2682)
Tb (0.9563, 0.2717, 0.9127)
Tb (0.8659, 0.8250, 0.7318)